The following is a PBE+U calculation of a geometry-optimized Ge2AsWO structure, from Alexandria via LeMat-Bulk.

## Properties
VASP energy   -22.25 eV for the cell shown

Cell and atoms, written as CIF:
```
data_Ge2AsWO
_cell_length_a 5.134
_cell_length_b 5.134
_cell_length_c 3.673
_cell_angle_alpha 90.00
_cell_angle_beta 90.00
_cell_angle_gamma 90.00
_space_group_name_H-M_alt 'P 4/m m m'
_space_group_IT_number 123
_space_group_name_Hall '-P 4 2'
loop_
_atom_site_label
_atom_site_fract_x
_atom_site_fract_y
_atom_site_fract_z
_atom_site_occupancy
Ge1 0.000 0.500 0.000 1
As1 0.000 0.000 0.000 1
W1 0.500 0.500 0.500 1
O1 0.000 0.000 0.500 1
```